[1]
# AcAlGa2Ag PBE relaxed
# Final energy, eV/atom: -3.824
# Total magnetization, μB/f.u.: 0.00
# ΔH_f (0 K), kcal/mol of atoms: -10.91
data_AcAlGa2Ag
_cell_length_a 4.441
_cell_length_b 4.441
_cell_length_c 11.138
_cell_angle_alpha 90.00
_cell_angle_beta 90.00
_cell_angle_gamma 90.00
_space_group_name_H-M_alt 'I -4 m 2'
_space_group_IT_number 119
_space_group_name_Hall 'I -4 -2'
loop_
_atom_site_label
_atom_site_type_symbol
_atom_site_fract_x
_atom_site_fract_y
_atom_site_fract_z
Ac1 Ac 0.000 0.000 0.000
Al1 Al 0.000 0.500 0.250
Ga1 Ga 0.000 0.000 0.385
Ag1 Ag 0.000 0.500 0.750

***

[2]
# Ac2AlGa6Ag PBE relaxed
# Final energy, eV/atom: -3.580
# Total magnetization, μB/f.u.: 0.00
# ΔH_f (0 K), kcal/mol of atoms: -6.53
data_Ac2AlGa6Ag
_cell_length_a 6.6280
_cell_length_b 6.6280
_cell_length_c 36.7621
_cell_angle_alpha 90.00
_cell_angle_beta 90.00
_cell_angle_gamma 120.00
_space_group_name_H-M_alt 'R -3 m'
_space_group_IT_number 166
_space_group_name_Hall '-R 3 2"'
loop_
_atom_site_label
_atom_site_type_symbol
_atom_site_fract_x
_atom_site_fract_y
_atom_site_fract_z
Ac1 Ac 0.0000 0.0000 0.1112
Ac2 Ac 0.0000 0.0000 0.2872
Al1 Al 0.0000 0.0000 0.4282
Ga1 Ga 0.0584 0.5292 0.2961
Ga2 Ga 0.0744 0.5372 0.8685
Ag1 Ag 0.0000 0.0000 0.0000
Ag2 Ag 0.0000 0.0000 0.5000

***

[3]
# AcAl2GaAg PBE relaxed
# Final energy, eV/atom: -3.910
# Total magnetization, μB/f.u.: 0.00
# ΔH_f (0 K), kcal/mol of atoms: -9.58
data_AcAl2GaAg
_cell_length_a 4.509
_cell_length_b 4.509
_cell_length_c 10.976
_cell_angle_alpha 90.00
_cell_angle_beta 90.00
_cell_angle_gamma 90.00
_space_group_name_H-M_alt 'I -4 m 2'
_space_group_IT_number 119
_space_group_name_Hall 'I -4 -2'
loop_
_atom_site_label
_atom_site_type_symbol
_atom_site_fract_x
_atom_site_fract_y
_atom_site_fract_z
Ac1 Ac 0.000 0.000 0.000
Al1 Al 0.000 0.000 0.381
Ga1 Ga 0.000 0.500 0.750
Ag1 Ag 0.000 0.500 0.250

***

[4]
# AcAlGa3Ag PBE relaxed
# Final energy, eV/atom: -3.374
# Total magnetization, μB/f.u.: 0.00
# ΔH_f (0 K), kcal/mol of atoms: -1.77
data_AcAlGa3Ag
_cell_length_a 6.631
_cell_length_b 12.938
_cell_length_c 6.569
_cell_angle_alpha 90.00
_cell_angle_beta 90.00
_cell_angle_gamma 90.00
_space_group_name_H-M_alt 'C m c m'
_space_group_IT_number 63
_space_group_name_Hall '-C 2c 2'
loop_
_atom_site_label
_atom_site_type_symbol
_atom_site_fract_x
_atom_site_fract_y
_atom_site_fract_z
Ac1 Ac 0.000 0.203 0.250
Al1 Al 0.000 0.442 0.250
Ga1 Ga 0.000 0.357 0.750
Ga2 Ga 0.205 0.000 0.000
Ag1 Ag 0.000 0.147 0.750

***

[5]
# AcAlGaAg3 PBE relaxed
# Final energy, eV/atom: -3.369
# Total magnetization, μB/f.u.: 0.00
# ΔH_f (0 K), kcal/mol of atoms: -3.01
data_AcAlGaAg3
_cell_length_a 6.835
_cell_length_b 12.778
_cell_length_c 6.351
_cell_angle_alpha 90.00
_cell_angle_beta 90.00
_cell_angle_gamma 90.00
_space_group_name_H-M_alt 'C m c m'
_space_group_IT_number 63
_space_group_name_Hall '-C 2c 2'
loop_
_atom_site_label
_atom_site_type_symbol
_atom_site_fract_x
_atom_site_fract_y
_atom_site_fract_z
Ac1 Ac 0.000 0.217 0.250
Al1 Al 0.000 0.467 0.250
Ga1 Ga 0.000 0.131 0.750
Ag1 Ag 0.000 0.335 0.750
Ag2 Ag 0.207 0.000 0.000

***

[6]
# Ac2AlGa3Ag4 PBE relaxed
# Final energy, eV/atom: -3.610
# Total magnetization, μB/f.u.: 0.00
# ΔH_f (0 K), kcal/mol of atoms: -8.43
data_Ac2AlGa3Ag4
_cell_length_a 4.559
_cell_length_b 4.559
_cell_length_c 10.892
_cell_angle_alpha 90.00
_cell_angle_beta 90.00
_cell_angle_gamma 90.00
_space_group_name_H-M_alt 'P -4 m 2'
_space_group_IT_number 115
loop_
_space_group_symop_operation_xyz
'x,y,z'
'y,-x,-z'
'-x,-y,z'
'-y,x,-z'
'-x,y,z'
'-y,-x,-z'
'x,-y,z'
'y,x,-z'
loop_
_atom_site_label
_atom_site_type_symbol
_atom_site_fract_x
_atom_site_fract_y
_atom_site_fract_z
Ac1 Ac 0.000 0.500 0.247
Al1 Al 0.000 0.000 0.500
Ga1 Ga 0.000 0.500 0.868
Ga2 Ga 0.500 0.500 0.500
Ag1 Ag 0.000 0.000 0.000
Ag2 Ag 0.000 0.500 0.628
Ag3 Ag 0.500 0.500 0.000

***

[7]
# Ac2Al3GaAg4 PBE relaxed
# Final energy, eV/atom: -3.723
# Total magnetization, μB/f.u.: 0.00
# ΔH_f (0 K), kcal/mol of atoms: -7.73
data_Ac2Al3GaAg4
_cell_length_a 4.579
_cell_length_b 4.579
_cell_length_c 10.842
_cell_angle_alpha 90.00
_cell_angle_beta 90.00
_cell_angle_gamma 90.00
_space_group_name_H-M_alt 'P -4 m 2'
_space_group_IT_number 115
loop_
_space_group_symop_operation_xyz
'x,y,z'
'y,-x,-z'
'-x,-y,z'
'-y,x,-z'
'-x,y,z'
'-y,-x,-z'
'x,-y,z'
'y,x,-z'
loop_
_atom_site_label
_atom_site_type_symbol
_atom_site_fract_x
_atom_site_fract_y
_atom_site_fract_z
Ac1 Ac 0.000 0.500 0.249
Al1 Al 0.000 0.000 0.000
Al2 Al 0.000 0.500 0.628
Ga1 Ga 0.500 0.500 0.000
Ag1 Ag 0.000 0.000 0.500
Ag2 Ag 0.000 0.500 0.869
Ag3 Ag 0.500 0.500 0.500

***

[8]
# AcAl2GaAg4 PBE relaxed
# Final energy, eV/atom: -3.410
# Total magnetization, μB/f.u.: 0.00
# ΔH_f (0 K), kcal/mol of atoms: -3.63
data_AcAl2GaAg4
_cell_length_a 4.5214
_cell_length_b 4.5214
_cell_length_c 28.6025
_cell_angle_alpha 90.00
_cell_angle_beta 90.00
_cell_angle_gamma 120.00
_space_group_name_H-M_alt 'R -3 m'
_space_group_IT_number 166
_space_group_name_Hall '-R 3 2"'
loop_
_atom_site_label
_atom_site_type_symbol
_atom_site_fract_x
_atom_site_fract_y
_atom_site_fract_z
Ac1 Ac 0.0000 0.0000 0.0000
Al1 Al 0.0000 0.0000 0.2461
Ga1 Ga 0.0000 0.0000 0.5000
Ag1 Ag 0.0000 0.0000 0.1326
Ag2 Ag 0.0000 0.0000 0.4070

***

[9]
# Ac3AlAg2Ge6 PBE relaxed
# Final energy, eV/atom: -4.420
# Total magnetization, μB/f.u.: 0.00
# ΔH_f (0 K), kcal/mol of atoms: -6.86
data_Ac3AlAg2Ge6
_cell_length_a 6.1905
_cell_length_b 6.1905
_cell_length_c 9.0562
_cell_angle_alpha 90.00
_cell_angle_beta 90.00
_cell_angle_gamma 120.00
_space_group_name_H-M_alt 'P -3 m 1'
_space_group_IT_number 164
_space_group_name_Hall '-P 3 2"'
loop_
_atom_site_label
_atom_site_type_symbol
_atom_site_fract_x
_atom_site_fract_y
_atom_site_fract_z
Ac1 Ac 0.0000 0.0000 0.0000
Ac2 Ac 0.3333 0.6667 0.6233
Al1 Al 0.0000 0.0000 0.5000
Ag1 Ag 0.3333 0.6667 0.0166
Ge1 Ge 0.1908 0.3816 0.2861

***

[10]
# Ac2Al4Ag3Ge PBE relaxed
# Final energy, eV/atom: -4.015
# Total magnetization, μB/f.u.: 0.00
# ΔH_f (0 K), kcal/mol of atoms: -8.75
data_Ac2Al4Ag3Ge
_cell_length_a 4.571
_cell_length_b 4.571
_cell_length_c 10.772
_cell_angle_alpha 90.00
_cell_angle_beta 90.00
_cell_angle_gamma 90.00
_space_group_name_H-M_alt 'P -4 m 2'
_space_group_IT_number 115
loop_
_space_group_symop_operation_xyz
'x,y,z'
'y,-x,-z'
'-x,-y,z'
'-y,x,-z'
'-x,y,z'
'-y,-x,-z'
'x,-y,z'
'y,x,-z'
loop_
_atom_site_label
_atom_site_type_symbol
_atom_site_fract_x
_atom_site_fract_y
_atom_site_fract_z
Ac1 Ac 0.000 0.500 0.246
Al1 Al 0.000 0.000 0.500
Al2 Al 0.000 0.500 0.873
Al3 Al 0.500 0.500 0.500
Ag1 Ag 0.000 0.000 0.000
Ag2 Ag 0.000 0.500 0.630
Ge1 Ge 0.500 0.500 0.000

***

[11]
# Ac2AlAgGe PBE relaxed
# Final energy, eV/atom: -4.317
# Total magnetization, μB/f.u.: 0.00
# ΔH_f (0 K), kcal/mol of atoms: -9.95
data_Ac2AlAgGe
_cell_length_a 4.551
_cell_length_b 4.551
_cell_length_c 14.776
_cell_angle_alpha 90.00
_cell_angle_beta 90.00
_cell_angle_gamma 90.00
_space_group_name_H-M_alt 'P 4/n m m'
_space_group_IT_number 129
loop_
_space_group_symop_operation_xyz
'x,y,z'
'-x,-y,-z'
'-y+1/2,x,z'
'y+1/2,-x,-z'
'-x+1/2,-y+1/2,z'
'x+1/2,y+1/2,-z'
'y,-x+1/2,z'
'-y,x+1/2,-z'
'x+1/2,-y,-z'
'-x+1/2,y,z'
'-y,-x,-z'
'y,x,z'
'-x,y+1/2,-z'
'x,-y+1/2,z'
'y+1/2,x+1/2,-z'
'-y+1/2,-x+1/2,z'
loop_
_atom_site_label
_atom_site_type_symbol
_atom_site_fract_x
_atom_site_fract_y
_atom_site_fract_z
Ac1 Ac 0.250 0.250 0.107
Ac2 Ac 0.250 0.250 0.678
Al1 Al 0.250 0.750 0.500
Ag1 Ag 0.250 0.250 0.401
Ge1 Ge 0.250 0.250 0.887

***

[12]
# Ac2Al3AgGe4 PBE relaxed
# Final energy, eV/atom: -4.463
# Total magnetization, μB/f.u.: 0.00
# ΔH_f (0 K), kcal/mol of atoms: -8.92
data_Ac2Al3AgGe4
_cell_length_a 4.788
_cell_length_b 4.788
_cell_length_c 9.801
_cell_angle_alpha 90.00
_cell_angle_beta 90.00
_cell_angle_gamma 90.00
_space_group_name_H-M_alt 'P -4 m 2'
_space_group_IT_number 115
loop_
_space_group_symop_operation_xyz
'x,y,z'
'y,-x,-z'
'-x,-y,z'
'-y,x,-z'
'-x,y,z'
'-y,-x,-z'
'x,-y,z'
'y,x,-z'
loop_
_atom_site_label
_atom_site_type_symbol
_atom_site_fract_x
_atom_site_fract_y
_atom_site_fract_z
Ac1 Ac 0.000 0.500 0.246
Al1 Al 0.000 0.500 0.891
Al2 Al 0.500 0.500 0.500
Ag1 Ag 0.000 0.000 0.500
Ge1 Ge 0.000 0.000 0.000
Ge2 Ge 0.000 0.500 0.632
Ge3 Ge 0.500 0.500 0.000